# 1
DFT (GGA-PBE) results for a relaxed InPOsCl2 crystal.

The uncorrected formation energy is 1230 meV/atom. The calculation puts the final energy at -3.38 eV per atom. For the relative energy among the computed polymorphs, the calculation gives 1104 meV/atom.

The space group is P4/mmm (No. 123) and the conventional cell measures 4.924, 4.924 and 5.372 Å, with angles of 90.00, 90.00 and 90.00 degrees. The distinct sites, in fractional coordinates, are In at (0.000, 0.000, 0.000), P at (0.000, 0.000, 0.500), Os at (0.500, 0.500, 0.500) and Cl at (0.000, 0.500, 0.000).



# 2
DFT (GGA-PBE) results for a relaxed Rb2InOsCl6 crystal.

The uncorrected formation energy is -1052 meV/atom. The calculation puts the final energy at -3.75 eV per atom.

The space group is Fm-3m (No. 225) and the conventional cell measures 10.692, 10.692 and 10.692 Å, with angles of 90.00, 90.00 and 90.00 degrees. The distinct sites, in fractional coordinates, are Rb at (0.250, 0.250, 0.250), In at (0.000, 0.000, 0.000), Os at (0.000, 0.000, 0.500) and Cl at (0.000, 0.000, 0.277).



# 3
DFT (GGA-PBE) results for a relaxed InReOs2Cl crystal.

The uncorrected formation energy is 1582 meV/atom. The calculation puts the final energy at -6.32 eV per atom.

The space group is P4/mmm (No. 123) and the conventional cell measures 4.822, 4.822 and 4.591 Å, with angles of 90.00, 90.00 and 90.00 degrees. The distinct sites, in fractional coordinates, are In at (0.000, 0.000, 0.000), Re at (0.500, 0.500, 0.500), Os at (0.000, 0.500, 0.500) and Cl at (0.500, 0.500, 0.000).



# 4
DFT (GGA-PBE) results for a relaxed InSbOsCl2 crystal.

The uncorrected formation energy is 1100 meV/atom. The calculation puts the final energy at -3.26 eV per atom.

The space group is P4/mmm (No. 123) and the conventional cell measures 5.127, 5.127 and 6.202 Å, with angles of 90.00, 90.00 and 90.00 degrees. The distinct sites, in fractional coordinates, are In at (0.000, 0.000, 0.000), Sb at (0.000, 0.000, 0.500), Os at (0.500, 0.500, 0.000) and Cl at (0.000, 0.500, 0.500).



# 5
DFT (GGA-PBE) results for a relaxed In2SnOsCl crystal.

The uncorrected formation energy is -161 meV/atom. The calculation puts the final energy at -4.67 eV per atom.

The space group is P4/mmm (No. 123) and the conventional cell measures 5.230, 5.230 and 5.087 Å, with angles of 90.00, 90.00 and 90.00 degrees. The distinct sites, in fractional coordinates, are In at (0.000, 0.500, 0.000), Sn at (0.000, 0.000, 0.500), Os at (0.000, 0.000, 0.000) and Cl at (0.500, 0.500, 0.500).



# 6
DFT (GGA-PBE) results for a relaxed InSn2OsCl crystal.

The uncorrected formation energy is -256 meV/atom. The calculation puts the final energy at -5.02 eV per atom.

The space group is P4/mmm (No. 123) and the conventional cell measures 5.101, 5.101 and 5.272 Å, with angles of 90.00, 90.00 and 90.00 degrees. The distinct sites, in fractional coordinates, are In at (0.000, 0.000, 0.000), Sn at (0.000, 0.500, 0.500), Os at (0.000, 0.000, 0.500) and Cl at (0.500, 0.500, 0.000).



# 7
DFT (GGA-PBE) results for a relaxed InTcOs2Cl crystal.

The uncorrected formation energy is 1492 meV/atom. The calculation puts the final energy at -5.99 eV per atom.

The space group is P4/mmm (No. 123) and the conventional cell measures 4.770, 4.770 and 4.611 Å, with angles of 90.00, 90.00 and 90.00 degrees. The distinct sites, in fractional coordinates, are In at (0.000, 0.000, 0.000), Tc at (0.500, 0.500, 0.500), Os at (0.000, 0.500, 0.500) and Cl at (0.500, 0.500, 0.000).



# 8
DFT (GGA-PBE) results for a relaxed InP3Cl crystal.

The uncorrected formation energy is 1304 meV/atom. The calculation puts the final energy at -2.86 eV per atom. For the relative energy among the computed polymorphs, the calculation gives 128 meV/atom.

The space group is Pm-3m (No. 221) and the conventional cell measures 5.100, 5.100 and 5.100 Å, with angles of 90.00, 90.00 and 90.00 degrees. The distinct sites, in fractional coordinates, are In at (0.000, 0.000, 0.000), P at (0.000, 0.000, 0.500) and Cl at (0.500, 0.500, 0.500).



# 9
DFT (GGA-PBE) results for a relaxed InPCl2 crystal.

The uncorrected formation energy is -139 meV/atom. The calculation puts the final energy at -3.10 eV per atom. For the relative energy among the computed polymorphs, the calculation gives 296 meV/atom.

The space group is P2/m (No. 10) and the conventional cell measures 5.880, 3.365 and 6.634 Å, with angles of 90.00, 116.13 and 90.00 degrees. The distinct sites, in fractional coordinates, are In at (0.000, 0.000, 0.000), P at (0.500, 0.000, 0.000) and Cl at (0.352, 0.500, 0.705).



# 10
DFT (GGA-PBE) results for a relaxed InP4Cl crystal.

The uncorrected formation energy is -58 meV/atom. The calculation puts the final energy at -4.43 eV per atom.

The space group is F-43m (No. 216) and the conventional cell measures 8.514, 8.514 and 8.514 Å, with angles of 90.00, 90.00 and 90.00 degrees. The distinct sites, in fractional coordinates, are In at (0.000, 0.000, 0.000), P at (0.091, 0.091, 0.591) and Cl at (0.250, 0.250, 0.250).



# 11
DFT (GGA-PBE) results for a relaxed InPCl2 crystal.

The uncorrected formation energy is 14 meV/atom. The calculation puts the final energy at -2.95 eV per atom. For the relative energy among the computed polymorphs, the calculation gives 450 meV/atom.

The space group is Cmmm (No. 65) and the conventional cell measures 3.345, 6.361 and 9.215 Å, with angles of 90.00, 90.00 and 90.00 degrees. The distinct sites, in fractional coordinates, are In at (0.000, 0.000, 0.000), P at (0.000, 0.000, 0.500) and Cl at (0.000, 0.500, 0.306).



# 12
DFT (GGA-PBE) results for a relaxed In2PCl crystal.

The uncorrected formation energy is 164 meV/atom. The calculation puts the final energy at -3.02 eV per atom. For the relative energy among the computed polymorphs, the calculation gives 473 meV/atom.

The space group is F-43m (No. 216) and the conventional cell measures 7.142, 7.142 and 7.142 Å, with angles of 90.00, 90.00 and 90.00 degrees. The distinct sites, in fractional coordinates, are In at (0.000, 0.000, 0.000), In at (0.250, 0.250, 0.250), P at (0.250, 0.250, 0.750) and Cl at (0.000, 0.000, 0.500).



# 13
DFT (GGA-PBE) results for a relaxed InP3Cl crystal.

The uncorrected formation energy is 1176 meV/atom. The calculation puts the final energy at -2.99 eV per atom. For the relative energy among the computed polymorphs, the calculation gives 0 meV/atom.

The space group is Pm-3m (No. 221) and the conventional cell measures 4.689, 4.689 and 4.689 Å, with angles of 90.00, 90.00 and 90.00 degrees. The distinct sites, in fractional coordinates, are In at (0.000, 0.000, 0.000), P at (0.000, 0.500, 0.500) and Cl at (0.500, 0.500, 0.500).



# 14
DFT (GGA-PBE) results for a relaxed In2PCl crystal.

The uncorrected formation energy is -138 meV/atom. The calculation puts the final energy at -3.32 eV per atom. For the relative energy among the computed polymorphs, the calculation gives 171 meV/atom.

The space group is I-42d (No. 122) and the conventional cell measures 7.343, 7.343 and 8.482 Å, with angles of 90.00, 90.00 and 90.00 degrees. The distinct sites, in fractional coordinates, are In at (0.213, 0.250, 0.125), P at (0.000, 0.000, 0.000) and Cl at (0.000, 0.000, 0.500).